The following is a PBE with a Hubbard U calculation of a geometry-optimized TaMo3F structure, from Alexandria via LeMat-Bulk.

abc: 4.3049 4.3049 4.3049
angles: 90.00 90.00 90.00
Last column: magnetic moment on the atom in μB.
Positions (direct):
Mo 0.0000 0.5000 0.0000  0.91
Mo 0.0000 0.0000 0.5000  0.83
Mo 0.5000 0.0000 0.0000  0.89
F 0.0000 0.0000 0.0000  0.02
Ta 0.5000 0.5000 0.5000  -0.27

ΔE to the lowest computed polymorph	0.0000	eV per atom
ρ	10.2	g/cm3
total magnetization	2.3	μB/f.u.